Record 1
A plane-wave DFT calculation with GGA-PBE was carried out for crystalline LaMn2Ni at its relaxed geometry.

It has space group I4_1/amd (No. 141, origin choice 2), with a = 4.306 Å, b = 4.306 Å, c = 17.350 Å, α = 90.00°, β = 90.00° and γ = 90.00°. The inequivalent atoms are La at (0.000, 0.250, 0.375), Mn at (0.000, 0.000, 0.000) and Ni at (0.000, 0.250, 0.875).

The total magnetization comes out at 4.19 μB per formula unit. The calculation puts the calculated density at 6.349 g/cm³. The formation energy comes out at 0.433 eV per atom.


Record 2
A plane-wave DFT calculation with GGA-PBE was carried out for crystalline AlCoSeCl2 at its relaxed geometry.

It has space group P4/mmm (No. 123), with a = 5.558 Å, b = 5.558 Å, c = 4.360 Å, α = 90.00°, β = 90.00° and γ = 90.00°. The inequivalent atoms are Al at (0.000, 0.000, 0.000), Co at (0.500, 0.500, 0.000), Se at (0.500, 0.500, 0.500) and Cl at (0.000, 0.500, 0.500).

The total magnetization comes out at 1.49 μB per formula unit. The calculation puts the calculated density at 2.907 g/cm³. The calculation puts the uncorrected formation energy at 1.76 eV per formula unit.


Record 3
A plane-wave DFT calculation with GGA-PBE was carried out for crystalline NpCu3As3 at its relaxed geometry.

It has space group Pm-3n (No. 223), with a = 6.584 Å, b = 6.584 Å, c = 6.584 Å, α = 90.00°, β = 90.00° and γ = 90.00°. The inequivalent atoms are Np at (0.000, 0.000, 0.000), Cu at (0.000, 0.250, 0.500) and As at (0.000, 0.500, 0.250).

The total magnetization comes out at 4.24 μB per formula unit. The calculation puts the calculated density at 7.590 g/cm³. The formation energy comes out at 0.114 eV per atom.


Record 4
A plane-wave DFT calculation with GGA-PBE was carried out for crystalline Ba2LiFePd at its relaxed geometry.

It has space group P4/mmm (No. 123), with a = 5.927 Å, b = 5.927 Å, c = 4.641 Å, α = 90.00°, β = 90.00° and γ = 90.00°. The inequivalent atoms are Ba at (0.000, 0.500, 0.000), Li at (0.000, 0.000, 0.500), Fe at (0.500, 0.500, 0.000) and Pd at (0.500, 0.500, 0.500).

The total magnetization comes out at 0.00 μB per formula unit. The calculation puts the calculated density at 4.521 g/cm³. The formation energy comes out at 0.387 eV per atom.


Record 5
A plane-wave DFT calculation with GGA-PBE was carried out for crystalline CrRe2Se at its relaxed geometry.

It has space group R-3m (No. 166, hexagonal axes), with a = 2.8471 Å, b = 2.8471 Å, c = 25.0632 Å, α = 90.00°, β = 90.00° and γ = 120.00°. The inequivalent atoms are Cr at (0.0000, 0.0000, 0.0000), Re at (0.0000, 0.0000, 0.2529) and Se at (0.0000, 0.0000, 0.5000).

The total magnetization comes out at 0.00 μB per formula unit. The calculation puts the calculated density at 14.252 g/cm³. The calculation puts the uncorrected formation energy at 1.62 eV per formula unit.


Record 6
A plane-wave DFT calculation with GGA-PBE was carried out for crystalline Sr2YIn at its relaxed geometry.

It has space group I4/mmm (No. 139), with a = 5.123 Å, b = 5.123 Å, c = 10.698 Å, α = 90.00°, β = 90.00° and γ = 90.00°. The inequivalent atoms are Sr at (0.000, 0.500, 0.250), Y at (0.000, 0.000, 0.000) and In at (0.000, 0.000, 0.500).

The total magnetization comes out at 0.00 μB per formula unit. The calculation puts the calculated density at 4.482 g/cm³. The formation energy comes out at -0.055 eV per atom.


Record 7
A plane-wave DFT calculation with GGA-PBE was carried out for crystalline CaTcSe2 at its relaxed geometry.

It has space group R-3m (No. 166, hexagonal axes), with a = 4.4126 Å, b = 4.4126 Å, c = 23.8430 Å, α = 90.00°, β = 90.00° and γ = 120.00°. The inequivalent atoms are Ca at (0.0000, 0.0000, 0.0000), Tc at (0.0000, 0.0000, 0.5000) and Se at (0.0000, 0.0000, 0.3975).

The total magnetization comes out at 4.77 μB per formula unit. The calculation puts the calculated density at 3.667 g/cm³. The calculation puts the uncorrected formation energy at -0.75 eV per formula unit.


Record 8
A plane-wave DFT calculation with GGA-PBE was carried out for crystalline NpBiTe at its relaxed geometry.

It has space group P-6m2 (No. 187), with a = 5.1881 Å, b = 5.1881 Å, c = 3.9059 Å, α = 90.00°, β = 90.00° and γ = 120.00°. The inequivalent atoms are Np at (0.0000, 0.0000, 0.0000), Bi at (0.3333, 0.6667, 0.5000) and Te at (0.6667, 0.3333, 0.0000).

The total magnetization comes out at 4.04 μB per formula unit. The calculation puts the calculated density at 10.461 g/cm³. The calculation puts the uncorrected formation energy at -0.02 eV per formula unit.


Record 9
A plane-wave DFT calculation with GGA-PBE was carried out for crystalline AcSiAg at its relaxed geometry.

It has space group I4mm (No. 107), with a = 4.375 Å, b = 4.375 Å, c = 8.785 Å, α = 90.00°, β = 90.00° and γ = 90.00°. The inequivalent atoms are Ac at (0.000, 0.000, 0.000), Si at (0.000, 0.000, 0.359) and Ag at (0.000, 0.000, 0.649).

The total magnetization comes out at 0.00 μB per formula unit. The calculation puts the calculated density at 7.167 g/cm³. The calculation puts the uncorrected formation energy at -0.03 eV per formula unit.


Record 10
A plane-wave DFT calculation with GGA-PBE was carried out for crystalline Ce2Cd16Ga at its relaxed geometry.

It has space group R3m (No. 160, hexagonal axes), with a = 10.1348 Å, b = 10.1348 Å, c = 14.8291 Å, α = 90.00°, β = 90.00° and γ = 120.00°. The inequivalent atoms are Ce at (0.0000, 0.0000, 0.0000), Ce at (0.0000, 0.0000, 0.3420), Cd at (0.0000, 0.0000, 0.5998), Cd at (0.0012, 0.3069, 0.6759), Cd at (0.0216, 0.5108, 0.5256), Cd at (0.0400, 0.5200, 0.1707), Cd at (0.0531, 0.5266, 0.8308) and Ga at (0.0000, 0.0000, 0.7881).

The total magnetization comes out at 2.34 μB per formula unit. The calculation puts the calculated density at 8.114 g/cm³. The formation energy comes out at -0.116 eV per atom.


Record 11
A plane-wave DFT calculation with GGA-PBE was carried out for crystalline K4Rb at its relaxed geometry.

It has space group P4/nbm (No. 125, origin choice 2), with a = 12.605 Å, b = 12.605 Å, c = 4.869 Å, α = 90.00°, β = 90.00° and γ = 90.00°. The inequivalent atoms are K at (0.102, 0.602, 0.241) and Rb at (0.250, 0.250, 0.500).

The total magnetization comes out at 0.00 μB per formula unit. The calculation puts the calculated density at 1.038 g/cm³. The formation energy comes out at 0.025 eV per atom.


Record 12
A plane-wave DFT calculation with GGA-PBE was carried out for crystalline KLa2Rh at its relaxed geometry.

It has space group R-3m (No. 166, hexagonal axes), with a = 4.2184 Å, b = 4.2184 Å, c = 34.4261 Å, α = 90.00°, β = 90.00° and γ = 120.00°. The inequivalent atoms are K at (0.0000, 0.0000, 0.0000), La at (0.0000, 0.0000, 0.1228) and Rh at (0.0000, 0.0000, 0.5000).

The total magnetization comes out at 0.00 μB per formula unit. The calculation puts the calculated density at 3.942 g/cm³. The formation energy comes out at -0.341 eV per atom.


Record 13
A plane-wave DFT calculation with GGA-PBE was carried out for crystalline Ag2IrBr at its relaxed geometry.

It has space group Cmm2 (No. 35), with a = 2.926 Å, b = 5.280 Å, c = 9.686 Å, α = 90.00°, β = 90.00° and γ = 90.00°. The inequivalent atoms are Ag at (0.000, 0.000, 0.000), Ag at (0.000, 0.500, 0.251), Ir at (0.000, 0.500, 0.758) and Br at (0.000, 0.000, 0.539).

The total magnetization comes out at 0.00 μB per formula unit. The calculation puts the calculated density at 10.828 g/cm³. The calculation puts the uncorrected formation energy at 2.26 eV per formula unit.


Record 14
A plane-wave DFT calculation with GGA-PBE was carried out for crystalline MnFeBr2 at its relaxed geometry.

It has space group I-42d (No. 122), with a = 5.594 Å, b = 5.594 Å, c = 10.618 Å, α = 90.00°, β = 90.00° and γ = 90.00°. The inequivalent atoms are Mn at (0.000, 0.000, 0.000), Fe at (0.000, 0.000, 0.500) and Br at (0.240, 0.250, 0.125).

The total magnetization comes out at 3.12 μB per formula unit. The calculation puts the calculated density at 5.409 g/cm³. The calculation puts the uncorrected formation energy at 2.78 eV per formula unit.


Record 15
A plane-wave DFT calculation with GGA-PBE was carried out for crystalline TlHg2Ru at its relaxed geometry.

It has space group P4mm (No. 99), with a = 3.233 Å, b = 3.233 Å, c = 8.473 Å, α = 90.00°, β = 90.00° and γ = 90.00°. The inequivalent atoms are Tl at (0.000, 0.000, 0.000), Hg at (0.000, 0.000, 0.599), Hg at (0.500, 0.500, 0.313) and Ru at (0.500, 0.500, 0.802).

The total magnetization comes out at 0.29 μB per formula unit. The calculation puts the calculated density at 13.247 g/cm³. The formation energy comes out at 0.470 eV per atom.


Record 16
A plane-wave DFT calculation with GGA-PBE was carried out for crystalline Rb2CaOsO6 at its relaxed geometry.

It has space group P-3m1 (No. 164), with a = 6.3936 Å, b = 6.3936 Å, c = 5.8765 Å, α = 90.00°, β = 90.00° and γ = 120.00°. The inequivalent atoms are Rb at (0.3333, 0.6667, 0.1330), Ca at (0.0000, 0.0000, 0.5000), Os at (0.0000, 0.0000, 0.0000) and O at (0.1364, 0.2727, 0.8087).

The total magnetization comes out at 0.00 μB per formula unit. The calculation puts the calculated density at 3.969 g/cm³. The calculation puts the uncorrected formation energy at -15.78 eV per formula unit.


Record 17
A plane-wave DFT calculation with GGA-PBE was carried out for crystalline PuMnSi2 at its relaxed geometry.

It has space group R-3m (No. 166, hexagonal axes), with a = 4.0707 Å, b = 4.0707 Å, c = 14.1519 Å, α = 90.00°, β = 90.00° and γ = 120.00°. The inequivalent atoms are Pu at (0.0000, 0.0000, 0.0000), Mn at (0.0000, 0.0000, 0.5000) and Si at (0.0000, 0.0000, 0.2142).

The total magnetization comes out at 2.88 μB per formula unit. The calculation puts the calculated density at 8.711 g/cm³. The calculation puts the uncorrected formation energy at -1.56 eV per formula unit.


Record 18
A plane-wave DFT calculation with GGA-PBE was carried out for crystalline KCdOs2 at its relaxed geometry.

It has space group F-43m (No. 216), with a = 6.644 Å, b = 6.644 Å, c = 6.644 Å, α = 90.00°, β = 90.00° and γ = 90.00°. The inequivalent atoms are K at (0.000, 0.000, 0.000), Cd at (0.250, 0.250, 0.250), Os at (0.000, 0.000, 0.500) and Os at (0.250, 0.250, 0.750).

The total magnetization comes out at 0.00 μB per formula unit. The calculation puts the calculated density at 12.047 g/cm³. The formation energy comes out at 1.402 eV per atom.


Record 19
A plane-wave DFT calculation with GGA-PBE was carried out for crystalline BeBP2Cl at its relaxed geometry.

It has space group P4/mmm (No. 123), with a = 4.169 Å, b = 4.169 Å, c = 4.845 Å, α = 90.00°, β = 90.00° and γ = 90.00°. The inequivalent atoms are Be at (0.000, 0.000, 0.000), B at (0.500, 0.500, 0.500), P at (0.000, 0.500, 0.000) and Cl at (0.000, 0.000, 0.500).

The total magnetization comes out at 0.00 μB per formula unit. The calculation puts the calculated density at 2.311 g/cm³. The calculation puts the uncorrected formation energy at 6.27 eV per formula unit.


Record 20
A plane-wave DFT calculation with GGA-PBE was carried out for crystalline RbNaMg2Au at its relaxed geometry.

It has space group P4/mmm (No. 123), with a = 5.297 Å, b = 5.297 Å, c = 5.909 Å, α = 90.00°, β = 90.00° and γ = 90.00°. The inequivalent atoms are Rb at (0.000, 0.000, 0.000), Na at (0.500, 0.500, 0.000), Mg at (0.000, 0.500, 0.500) and Au at (0.500, 0.500, 0.500).

The total magnetization comes out at 0.00 μB per formula unit. The calculation puts the calculated density at 3.546 g/cm³. The formation energy comes out at -0.145 eV per atom.